[1]
First-principles (PBE) data for TbPmEr2As4 after structural relaxation, as listed in Alexandria.

```
data_TbPmEr2As4
_chemical_formula_sum 'Tb1 Pm1 Er2 As4'
_symmetry_space_group_name_H-M 'P 1 2/m 1'
_symmetry_Int_Tables_number 10
_cell_length_a 7.160
_cell_length_b 4.139
_cell_length_c 7.164
_cell_angle_alpha 90.00
_cell_angle_beta 109.48
_cell_angle_gamma 90.00
loop_
_symmetry_equiv_pos_as_xyz
'x,y,z'
'-x,-y,-z'
'-x,y,-z'
'x,-y,z'
loop_
_atom_site_label
_atom_site_fract_x
_atom_site_fract_y
_atom_site_fract_z
Tb1 0.000 0.000 0.000
Pm1 0.000 0.500 0.500
Er1 0.500 0.000 0.500
Er2 0.500 0.500 0.000
As1 0.256 0.500 0.249
As2 0.258 0.000 0.755
```

## Properties
DOS at the Fermi energy: 0.926 states/eV/cell
DFT formation energy: -1522 meV per atom

***

[2]
First-principles (PBE) data for Tb2PmErAs4 after structural relaxation, as listed in Alexandria.

```
data_Tb2PmErAs4
_chemical_formula_sum 'Tb2 Pm1 Er1 As4'
_symmetry_space_group_name_H-M 'P 1 2/m 1'
_symmetry_Int_Tables_number 10
_cell_length_a 7.187
_cell_length_b 4.153
_cell_length_c 7.189
_cell_angle_alpha 90.00
_cell_angle_beta 109.47
_cell_angle_gamma 90.00
loop_
_symmetry_equiv_pos_as_xyz
'x,y,z'
'-x,-y,-z'
'-x,y,-z'
'x,-y,z'
loop_
_atom_site_label
_atom_site_fract_x
_atom_site_fract_y
_atom_site_fract_z
Tb1 0.000 0.000 0.000
Tb2 0.500 0.500 0.000
Pm1 0.000 0.500 0.500
Er1 0.500 0.000 0.500
As1 0.254 0.500 0.250
As2 0.255 0.000 0.753
```

## Properties
DOS at the Fermi energy: 0.848 states/eV/cell
DFT formation energy: -1527 meV per atom

***

[3]
First-principles (PBE) data for TbPm2ErAs4 after structural relaxation, as listed in Alexandria.

```
data_TbPm2ErAs4
_chemical_formula_sum 'Tb1 Pm2 Er1 As4'
_symmetry_space_group_name_H-M 'P 1 2/m 1'
_symmetry_Int_Tables_number 10
_cell_length_a 7.228
_cell_length_b 4.178
_cell_length_c 7.231
_cell_angle_alpha 90.00
_cell_angle_beta 109.48
_cell_angle_gamma 90.00
loop_
_symmetry_equiv_pos_as_xyz
'x,y,z'
'-x,-y,-z'
'-x,y,-z'
'x,-y,z'
loop_
_atom_site_label
_atom_site_fract_x
_atom_site_fract_y
_atom_site_fract_z
Tb1 0.000 0.000 0.000
Pm1 0.500 0.000 0.500
Pm2 0.500 0.500 0.000
Er1 0.000 0.500 0.500
As1 0.242 0.000 0.746
As2 0.243 0.500 0.249
```

## Properties
DOS at the Fermi energy: 0.842 states/eV/cell
DFT formation energy: -1525 meV per atom

***

[4]
First-principles (PBE) data for Tb2Pm3ErAs6 after structural relaxation, as listed in Alexandria.

```
data_Tb2Pm3ErAs6
_chemical_formula_sum 'Tb4 Pm6 Er2 As12'
_symmetry_space_group_name_H-M 'C 1 2/m 1'
_symmetry_Int_Tables_number 12
_cell_length_a 18.212
_cell_length_b 4.182
_cell_length_c 8.356
_cell_angle_alpha 90.00
_cell_angle_beta 103.23
_cell_angle_gamma 90.00
loop_
_symmetry_equiv_pos_as_xyz
'x,y,z'
'-x,-y,-z'
'-x,y,-z'
'x,-y,z'
'x+1/2,y+1/2,z'
'-x+1/2,-y+1/2,-z'
'-x+1/2,y+1/2,-z'
'x+1/2,-y+1/2,z'
loop_
_atom_site_label
_atom_site_fract_x
_atom_site_fract_y
_atom_site_fract_z
Tb1 0.166 0.000 0.333
Pm1 0.000 0.500 0.500
Pm2 0.167 0.000 0.833
Er1 0.000 0.500 0.000
As1 0.001 0.000 0.244
As2 0.164 0.500 0.086
As3 0.168 0.500 0.580
```

## Properties
DOS at the Fermi energy: 3.670 states/eV/cell
DFT formation energy: -1526 meV per atom

***

[5]
First-principles (PBE) data for Tb3PmEr2As6 after structural relaxation, as listed in Alexandria.

```
data_Tb3PmEr2As6
_chemical_formula_sum 'Tb6 Pm2 Er4 As12'
_symmetry_space_group_name_H-M 'C 1 2/m 1'
_symmetry_Int_Tables_number 12
_cell_length_a 7.166
_cell_length_b 12.411
_cell_length_c 7.166
_cell_angle_alpha 90.00
_cell_angle_beta 109.46
_cell_angle_gamma 90.00
loop_
_symmetry_equiv_pos_as_xyz
'x,y,z'
'-x,-y,-z'
'-x,y,-z'
'x,-y,z'
'x+1/2,y+1/2,z'
'-x+1/2,-y+1/2,-z'
'-x+1/2,y+1/2,-z'
'x+1/2,-y+1/2,z'
loop_
_atom_site_label
_atom_site_fract_x
_atom_site_fract_y
_atom_site_fract_z
Tb1 0.000 0.000 0.000
Tb2 0.000 0.335 0.000
Pm1 0.000 0.500 0.500
Er1 0.000 0.167 0.500
As1 0.244 0.000 0.749
As2 0.247 0.169 0.250
```

## Properties
DOS at the Fermi energy: 3.641 states/eV/cell
DFT formation energy: -1527 meV per atom

***

[6]
First-principles (PBE) data for PmErTeAs after structural relaxation, as listed in Alexandria.

```
data_PmErTeAs
_chemical_formula_sum 'Pm3 Er3 Te3 As3'
_symmetry_space_group_name_H-M 'R 3 m'
_symmetry_Int_Tables_number 160
_symmetry_space_group_name_Hall 'R 3 -2"'
_cell_length_a 4.1744
_cell_length_b 4.1744
_cell_length_c 22.2464
_cell_angle_alpha 90.00
_cell_angle_beta 90.00
_cell_angle_gamma 120.00
loop_
_atom_site_label
_atom_site_fract_x
_atom_site_fract_y
_atom_site_fract_z
Pm1 0.0000 0.0000 0.0000
Er1 0.0000 0.0000 0.1894
Te1 0.0000 0.0000 0.4304
As1 0.0000 0.0000 0.5930
```

## Properties
DOS at the Fermi energy: 7.713 states/eV/cell
Formation energy (no corrections): -139.8 kJ/mol of atoms

***

[7]
First-principles (PBE) data for PmErTh2As4 after structural relaxation, as listed in Alexandria.

```
data_PmErTh2As4
_chemical_formula_sum 'Pm1 Er1 Th2 As4'
_symmetry_space_group_name_H-M 'P 1 2/m 1'
_symmetry_Int_Tables_number 10
_cell_length_a 7.259
_cell_length_b 4.220
_cell_length_c 7.310
_cell_angle_alpha 90.00
_cell_angle_beta 109.66
_cell_angle_gamma 90.00
loop_
_symmetry_equiv_pos_as_xyz
'x,y,z'
'-x,-y,-z'
'-x,y,-z'
'x,-y,z'
loop_
_atom_site_label
_atom_site_fract_x
_atom_site_fract_y
_atom_site_fract_z
Pm1 0.000 0.000 0.000
Er1 0.000 0.500 0.500
Th1 0.500 0.000 0.500
Th2 0.500 0.500 0.000
As1 0.243 0.000 0.744
As2 0.247 0.500 0.253
```

## Properties
DOS at the Fermi energy: 3.961 states/eV/cell
DFT formation energy: -1461 meV per atom

***

[8]
First-principles (PBE) data for Pm2ErTh3As6 after structural relaxation, as listed in Alexandria.

```
data_Pm2ErTh3As6
_chemical_formula_sum 'Pm4 Er2 Th6 As12'
_symmetry_space_group_name_H-M 'C 1 2/m 1'
_symmetry_Int_Tables_number 12
_cell_length_a 18.391
_cell_length_b 4.230
_cell_length_c 8.421
_cell_angle_alpha 90.00
_cell_angle_beta 103.00
_cell_angle_gamma 90.00
loop_
_symmetry_equiv_pos_as_xyz
'x,y,z'
'-x,-y,-z'
'-x,y,-z'
'x,-y,z'
'x+1/2,y+1/2,z'
'-x+1/2,-y+1/2,-z'
'-x+1/2,y+1/2,-z'
'x+1/2,-y+1/2,z'
loop_
_atom_site_label
_atom_site_fract_x
_atom_site_fract_y
_atom_site_fract_z
Pm1 0.166 0.000 0.333
Er1 0.000 0.500 0.000
Th1 0.000 0.500 0.500
Th2 0.167 0.000 0.834
As1 0.001 0.000 0.757
As2 0.164 0.500 0.081
As3 0.166 0.500 0.584
```

## Properties
DOS at the Fermi energy: 10.788 states/eV/cell
DFT formation energy: -1468 meV per atom

***

[9]
First-principles (PBE) data for PmErTm2As4 after structural relaxation, as listed in Alexandria.

```
data_PmErTm2As4
_chemical_formula_sum 'Pm1 Er1 Tm2 As4'
_symmetry_space_group_name_H-M 'P 1 2/m 1'
_symmetry_Int_Tables_number 10
_cell_length_a 7.121
_cell_length_b 4.116
_cell_length_c 7.124
_cell_angle_alpha 90.00
_cell_angle_beta 109.49
_cell_angle_gamma 90.00
loop_
_symmetry_equiv_pos_as_xyz
'x,y,z'
'-x,-y,-z'
'-x,y,-z'
'x,-y,z'
loop_
_atom_site_label
_atom_site_fract_x
_atom_site_fract_y
_atom_site_fract_z
Pm1 0.000 0.000 0.000
Er1 0.000 0.500 0.500
Tm1 0.500 0.000 0.500
Tm2 0.500 0.500 0.000
As1 0.255 0.000 0.747
As2 0.258 0.500 0.257
```

## Properties
DOS at the Fermi energy: 0.966 states/eV/cell
DFT formation energy: -1506 meV per atom

***

[10]
First-principles (PBE) data for Pm2ErTm3As6 after structural relaxation, as listed in Alexandria.

```
data_Pm2ErTm3As6
_chemical_formula_sum 'Pm4 Er2 Tm6 As12'
_symmetry_space_group_name_H-M 'C 1 2/m 1'
_symmetry_Int_Tables_number 12
_cell_length_a 17.978
_cell_length_b 4.128
_cell_length_c 8.248
_cell_angle_alpha 90.00
_cell_angle_beta 103.21
_cell_angle_gamma 90.00
loop_
_symmetry_equiv_pos_as_xyz
'x,y,z'
'-x,-y,-z'
'-x,y,-z'
'x,-y,z'
'x+1/2,y+1/2,z'
'-x+1/2,-y+1/2,-z'
'-x+1/2,y+1/2,-z'
'x+1/2,-y+1/2,z'
loop_
_atom_site_label
_atom_site_fract_x
_atom_site_fract_y
_atom_site_fract_z
Pm1 0.166 0.000 0.332
Er1 0.000 0.500 0.000
Tm1 0.000 0.500 0.500
Tm2 0.167 0.000 0.834
As1 0.003 0.000 0.751
As2 0.164 0.500 0.590
As3 0.167 0.500 0.076
```

## Properties
DOS at the Fermi energy: 3.599 states/eV/cell
DFT formation energy: -1506 meV per atom

***

[11]
First-principles (PBE) data for PmErU2As4 after structural relaxation, as listed in Alexandria.

```
data_PmErU2As4
_chemical_formula_sum 'Pm1 Er1 U2 As4'
_symmetry_space_group_name_H-M 'P 1 2/m 1'
_symmetry_Int_Tables_number 10
_cell_length_a 7.082
_cell_length_b 4.087
_cell_length_c 7.234
_cell_angle_alpha 90.00
_cell_angle_beta 109.03
_cell_angle_gamma 90.00
loop_
_symmetry_equiv_pos_as_xyz
'x,y,z'
'-x,-y,-z'
'-x,y,-z'
'x,-y,z'
loop_
_atom_site_label
_atom_site_fract_x
_atom_site_fract_y
_atom_site_fract_z
Pm1 0.000 0.000 0.000
Er1 0.500 0.500 0.000
U1 0.000 0.500 0.500
U2 0.500 0.000 0.500
As1 0.254 0.000 0.747
As2 0.257 0.500 0.256
```

## Properties
DOS at the Fermi energy: 7.621 states/eV/cell
DFT formation energy: -1125 meV per atom

***

[12]
First-principles (PBE) data for PmEr2UAs4 after structural relaxation, as listed in Alexandria.

```
data_PmEr2UAs4
_chemical_formula_sum 'Pm1 Er2 U1 As4'
_symmetry_space_group_name_H-M 'P 1 2/m 1'
_symmetry_Int_Tables_number 10
_cell_length_a 7.131
_cell_length_b 4.107
_cell_length_c 7.137
_cell_angle_alpha 90.00
_cell_angle_beta 109.21
_cell_angle_gamma 90.00
loop_
_symmetry_equiv_pos_as_xyz
'x,y,z'
'-x,-y,-z'
'-x,y,-z'
'x,-y,z'
loop_
_atom_site_label
_atom_site_fract_x
_atom_site_fract_y
_atom_site_fract_z
Pm1 0.000 0.000 0.000
Er1 0.500 0.000 0.500
Er2 0.500 0.500 0.000
U1 0.000 0.500 0.500
As1 0.253 0.000 0.746
As2 0.255 0.500 0.259
```

## Properties
DOS at the Fermi energy: 8.144 states/eV/cell
DFT formation energy: -1313 meV per atom